# SrAl6Pd3 | the Alexandria database | PBE | relaxed
# E = -45.2 eV/f.u.
data_SrAl6Pd3
_chemical_formula_sum 'Sr2 Al12 Pd6'
_cell_length_a 6.994
_cell_length_b 6.779
_cell_length_c 8.604
_cell_angle_alpha 90.00
_cell_angle_beta 118.40
_cell_angle_gamma 90.00
_space_group_name_H-M_alt 'P 1 21/c 1'
_space_group_IT_number 14
loop_
_space_group_symop_operation_xyz
'x,y,z'
'-x,-y,-z'
'-x,y+1/2,-z+1/2'
'x,-y+1/2,z+1/2'
loop_
_atom_site_label
_atom_site_type_symbol
_atom_site_fract_x
_atom_site_fract_y
_atom_site_fract_z
Sr1 Sr 0.000 0.000 0.000
Al1 Al 0.140 0.022 0.680
Al2 Al 0.296 0.679 0.882
Al3 Al 0.459 0.193 0.263
Pd1 Pd 0.227 0.163 0.427
Pd2 Pd 0.500 0.000 0.000

# SrAl3Pd | the Alexandria database | PBE | relaxed
# E = -20.2 eV/f.u.
data_SrAl3Pd
_chemical_formula_sum 'Sr4 Al12 Pd4'
_cell_length_a 6.359
_cell_length_b 12.076
_cell_length_c 5.436
_cell_angle_alpha 90.00
_cell_angle_beta 90.00
_cell_angle_gamma 90.00
_space_group_name_H-M_alt 'C m c m'
_space_group_IT_number 63
_space_group_name_Hall '-C 2c 2'
loop_
_atom_site_label
_atom_site_type_symbol
_atom_site_fract_x
_atom_site_fract_y
_atom_site_fract_z
Sr1 Sr 0.000 0.100 0.250
Al1 Al 0.000 0.314 0.750
Al2 Al 0.212 0.351 0.250
Pd1 Pd 0.000 0.500 0.000

# Sr3Al8Pd3 | the Alexandria database | PBE | relaxed
# E = -57.6 eV/f.u.
data_Sr3Al8Pd3
_chemical_formula_sum 'Sr6 Al16 Pd6'
_cell_length_a 16.291
_cell_length_b 4.559
_cell_length_c 9.257
_cell_angle_alpha 90.00
_cell_angle_beta 123.57
_cell_angle_gamma 90.00
_space_group_name_H-M_alt 'C 1 2/m 1'
_space_group_IT_number 12
loop_
_space_group_symop_operation_xyz
'x,y,z'
'-x,-y,-z'
'-x,y,-z'
'x,-y,z'
'x+1/2,y+1/2,z'
'-x+1/2,-y+1/2,-z'
'-x+1/2,y+1/2,-z'
'x+1/2,-y+1/2,z'
loop_
_atom_site_label
_atom_site_type_symbol
_atom_site_fract_x
_atom_site_fract_y
_atom_site_fract_z
Sr1 Sr 0.000 0.000 0.000
Sr2 Sr 0.213 0.500 0.703
Al1 Al 0.006 0.500 0.676
Al2 Al 0.131 0.000 0.422
Al3 Al 0.141 0.000 0.847
Al4 Al 0.154 0.500 0.283
Pd1 Pd 0.000 0.000 0.500
Pd2 Pd 0.161 0.500 0.998

# Sr2Al2Pd | the Alexandria database | PBE | relaxed
# E = -18.4 eV/f.u.
data_Sr2Al2Pd
_chemical_formula_sum 'Sr8 Al8 Pd4'
_cell_length_a 9.781
_cell_length_b 7.478
_cell_length_c 7.619
_cell_angle_alpha 90.00
_cell_angle_beta 101.69
_cell_angle_gamma 90.00
_space_group_name_H-M_alt 'C 1 2/c 1'
_space_group_IT_number 15
loop_
_space_group_symop_operation_xyz
'x,y,z'
'-x,-y,-z'
'-x,y,-z+1/2'
'x,-y,z+1/2'
'x+1/2,y+1/2,z'
'-x+1/2,-y+1/2,-z'
'-x+1/2,y+1/2,-z+1/2'
'x+1/2,-y+1/2,z+1/2'
loop_
_atom_site_label
_atom_site_type_symbol
_atom_site_fract_x
_atom_site_fract_y
_atom_site_fract_z
Sr1 Sr 0.196 0.050 0.299
Al1 Al 0.031 0.314 0.937
Pd1 Pd 0.000 0.396 0.250

# SrAl3Pd | the Alexandria database | PBE | relaxed
# E = -9.9 eV/f.u.
data_SrAl3Pd
_chemical_formula_sum 'Sr1 Al3 Pd1'
_cell_length_a 5.706
_cell_length_b 5.706
_cell_length_c 5.706
_cell_angle_alpha 90.00
_cell_angle_beta 90.00
_cell_angle_gamma 90.00
_space_group_name_H-M_alt 'P m -3 m'
_space_group_IT_number 221
_space_group_name_Hall '-P 4 2 3'
loop_
_atom_site_label
_atom_site_type_symbol
_atom_site_fract_x
_atom_site_fract_y
_atom_site_fract_z
Sr1 Sr 0.000 0.000 0.000
Al1 Al 0.000 0.000 0.500
Pd1 Pd 0.500 0.500 0.500

# Sr2Al6Pd | the Alexandria database | PBE | relaxed
# E = -34.0 eV/f.u.
data_Sr2Al6Pd
_chemical_formula_sum 'Sr2 Al6 Pd1'
_cell_length_a 6.0066
_cell_length_b 6.0066
_cell_length_c 6.1771
_cell_angle_alpha 90.00
_cell_angle_beta 90.00
_cell_angle_gamma 120.00
_space_group_name_H-M_alt 'P -3 m 1'
_space_group_IT_number 164
_space_group_name_Hall '-P 3 2"'
loop_
_atom_site_label
_atom_site_type_symbol
_atom_site_fract_x
_atom_site_fract_y
_atom_site_fract_z
Sr1 Sr 0.3333 0.6667 0.1366
Al1 Al 0.1677 0.3353 0.6681
Pd1 Pd 0.0000 0.0000 0.0000

# SrAl3Pd | the Alexandria database | PBE | relaxed
# E = -19.5 eV/f.u.
data_SrAl3Pd
_chemical_formula_sum 'Sr1 Al3 Pd1'
_cell_length_a 4.854
_cell_length_b 4.854
_cell_length_c 4.854
_cell_angle_alpha 90.00
_cell_angle_beta 90.00
_cell_angle_gamma 90.00
_space_group_name_H-M_alt 'P m -3 m'
_space_group_IT_number 221
_space_group_name_Hall '-P 4 2 3'
loop_
_atom_site_label
_atom_site_type_symbol
_atom_site_fract_x
_atom_site_fract_y
_atom_site_fract_z
Sr1 Sr 0.000 0.000 0.000
Al1 Al 0.000 0.500 0.500
Pd1 Pd 0.500 0.500 0.500

# Sr2Al5Pd3 | the Alexandria database | PBE | relaxed
# E = -44.1 eV/f.u.
data_Sr2Al5Pd3
_chemical_formula_sum 'Sr8 Al20 Pd12'
_cell_length_a 10.691
_cell_length_b 12.774
_cell_length_c 6.005
_cell_angle_alpha 90.00
_cell_angle_beta 90.00
_cell_angle_gamma 90.00
_space_group_name_H-M_alt 'I b a m'
_space_group_IT_number 72
_space_group_name_Hall '-I 2 2c'
loop_
_atom_site_label
_atom_site_type_symbol
_atom_site_fract_x
_atom_site_fract_y
_atom_site_fract_z
Sr1 Sr 0.229 0.139 0.000
Al1 Al 0.000 0.000 0.250
Al2 Al 0.000 0.281 0.250
Al3 Al 0.156 0.403 0.000
Pd1 Pd 0.000 0.500 0.250
Pd2 Pd 0.103 0.137 0.500

# Sr3Al2Pd4 | the Alexandria database | PBE | relaxed
# E = -39.7 eV/f.u.
data_Sr3Al2Pd4
_chemical_formula_sum 'Sr6 Al4 Pd8'
_cell_length_a 11.373
_cell_length_b 4.288
_cell_length_c 8.998
_cell_angle_alpha 90.00
_cell_angle_beta 100.78
_cell_angle_gamma 90.00
_space_group_name_H-M_alt 'C 1 2/m 1'
_space_group_IT_number 12
loop_
_space_group_symop_operation_xyz
'x,y,z'
'-x,-y,-z'
'-x,y,-z'
'x,-y,z'
'x+1/2,y+1/2,z'
'-x+1/2,-y+1/2,-z'
'-x+1/2,y+1/2,-z'
'x+1/2,-y+1/2,z'
loop_
_atom_site_label
_atom_site_type_symbol
_atom_site_fract_x
_atom_site_fract_y
_atom_site_fract_z
Sr1 Sr 0.000 0.000 0.000
Sr2 Sr 0.121 0.500 0.384
Al1 Al 0.179 0.500 0.791
Pd1 Pd 0.094 0.000 0.645
Pd2 Pd 0.228 0.500 0.088

# Sr3Al4Pd2 | the Alexandria database | PBE | relaxed
# E = -34.8 eV/f.u.
data_Sr3Al4Pd2
_chemical_formula_sum 'Sr6 Al8 Pd4'
_cell_length_a 11.807
_cell_length_b 4.366
_cell_length_c 9.480
_cell_angle_alpha 90.00
_cell_angle_beta 108.98
_cell_angle_gamma 90.00
_space_group_name_H-M_alt 'C 1 2/m 1'
_space_group_IT_number 12
loop_
_space_group_symop_operation_xyz
'x,y,z'
'-x,-y,-z'
'-x,y,-z'
'x,-y,z'
'x+1/2,y+1/2,z'
'-x+1/2,-y+1/2,-z'
'-x+1/2,y+1/2,-z'
'x+1/2,-y+1/2,z'
loop_
_atom_site_label
_atom_site_type_symbol
_atom_site_fract_x
_atom_site_fract_y
_atom_site_fract_z
Sr1 Sr 0.000 0.000 0.000
Sr2 Sr 0.100 0.500 0.691
Al1 Al 0.161 0.000 0.436
Al2 Al 0.228 0.500 0.067
Pd1 Pd 0.174 0.500 0.305

# SrAl3Pd | the Alexandria database | PBE | relaxed
# E = -20.7 eV/f.u.
data_SrAl3Pd
_chemical_formula_sum 'Sr4 Al12 Pd4'
_cell_length_a 8.455
_cell_length_b 4.289
_cell_length_c 11.463
_cell_angle_alpha 90.00
_cell_angle_beta 90.00
_cell_angle_gamma 90.00
_space_group_name_H-M_alt 'P n m a'
_space_group_IT_number 62
loop_
_space_group_symop_operation_xyz
'x,y,z'
'-x,-y,-z'
'-x+1/2,-y,z+1/2'
'x+1/2,y,-z+1/2'
'x+1/2,-y+1/2,-z+1/2'
'-x+1/2,y+1/2,z+1/2'
'-x,y+1/2,-z'
'x,-y+1/2,z'
loop_
_atom_site_label
_atom_site_type_symbol
_atom_site_fract_x
_atom_site_fract_y
_atom_site_fract_z
Sr1 Sr 0.180 0.250 0.010
Al1 Al 0.056 0.250 0.587
Al2 Al 0.114 0.750 0.777
Al3 Al 0.148 0.750 0.225
Pd1 Pd 0.111 0.250 0.360

# SrAl6Pd2 | the Alexandria database | PBE | relaxed
# E = -38.0 eV/f.u.
data_SrAl6Pd2
_chemical_formula_sum 'Sr2 Al12 Pd4'
_cell_length_a 9.977
_cell_length_b 9.152
_cell_length_c 4.220
_cell_angle_alpha 90.00
_cell_angle_beta 114.71
_cell_angle_gamma 90.00
_space_group_name_H-M_alt 'C 1 2/m 1'
_space_group_IT_number 12
loop_
_space_group_symop_operation_xyz
'x,y,z'
'-x,-y,-z'
'-x,y,-z'
'x,-y,z'
'x+1/2,y+1/2,z'
'-x+1/2,-y+1/2,-z'
'-x+1/2,y+1/2,-z'
'x+1/2,-y+1/2,z'
loop_
_atom_site_label
_atom_site_type_symbol
_atom_site_fract_x
_atom_site_fract_y
_atom_site_fract_z
Sr1 Sr 0.000 0.000 0.000
Al1 Al 0.000 0.278 0.500
Al2 Al 0.211 0.341 0.211
Pd1 Pd 0.164 0.500 0.664